No. 1
VASP calculation (PBE) on a relaxed structure of LiCr3Os.

## Properties
- VASP energy: -7.265 eV per atom
- Formation enthalpy at 0 K: 109.8 kJ/mol of atoms
- Symmetry: Pm-3m (221)
- Volume: 106.8 Å³ per cell
- Total moment: 9.45 μB per cell
- Energy above the most stable polymorph in this dataset: 0.0000 eV per atom

abc: 4.7440 4.7440 4.7440
angles: 90.00 90.00 90.00
Fractional coordinates of all 5 atoms:
Li 0.0000 0.0000 0.0000
Cr 0.0000 0.5000 0.5000
Cr 0.5000 0.0000 0.5000
Cr 0.5000 0.5000 0.0000
Os 0.5000 0.5000 0.5000



No. 2
VASP calculation (PBE) on a relaxed structure of LiCrOs.

## Properties
- VASP energy: -7.413 eV per atom
- Formation enthalpy at 0 K: 16.9 kJ/mol of atoms
- Symmetry: P3m1 (156)
- Volume: 37.6 Å³ per cell
- Total moment: 0.00 μB per cell
- Energy above the most stable polymorph in this dataset: 0.0100 eV per atom

abc: 4.1371 4.1371 2.5389
angles: 90.00 90.00 120.00
Fractional coordinates of all 3 atoms:
Li 0.0000 0.0000 0.0000
Cr 0.3333 0.6667 0.6630
Os 0.6667 0.3333 0.3890